KMnPbF6 PBE+U optimized geometry; raw total energy = -5.080 eV per atom; space group = No. 149; DOS(E_F) = 0.44 states/eV per atom
1.0
5.9511 0.0000 0.0000
-2.9755 5.1538 0.0000
0.0000 0.0000 5.0478
K Mn Pb F
1 1 1 6
Cartesian
0.0000 0.0000 0.0000
2.9755 1.7179 0.0000
0.0000 3.4358 2.5239
2.2949 0.2230 3.9021
1.3406 1.8760 1.1456
3.6561 0.2230 1.1456
2.0212 3.0548 3.9021
4.6105 1.8760 3.9021
3.9299 3.0548 1.1456